Entry 1:
A geometry-optimized Rb2AgSe4 structure, computed with GGA-PBE.

**Formation energy from raw total energies**: -3.8 eV per formula unit
**Symmetry**: Ibam, No. 72

Cell lengths 6.947, 9.284, 9.284 Å; angles 69.11, 68.03, 68.03 degrees
Sites, in units of the cell vectors:
Rb1 0.370 0.831 0.429
Rb2 0.630 0.169 0.571
Rb3 0.870 0.429 0.831
Rb4 0.130 0.571 0.169
Ag1 0.250 0.000 0.000
Ag2 0.750 0.000 0.000
Se1 0.125 0.219 0.530
Se2 0.875 0.781 0.470
Se3 0.625 0.530 0.219
Se4 0.375 0.470 0.781
Se5 0.116 0.004 0.764
Se6 0.884 0.996 0.236
Se7 0.616 0.764 0.004
Se8 0.384 0.236 0.996


Entry 2:
A geometry-optimized Tb3Nd7In structure, computed with GGA-PBE.

**DFT formation energy**: 0.10 eV/atom
**Symmetry**: P3m1, No. 156

Cell lengths 8.654, 7.120, 7.120 Å; angles 120.00, 90.00, 90.00 degrees
Sites, in units of the cell vectors:
Tb1 0.780 0.500 0.500
Tb2 0.780 0.500 0.000
Tb3 0.780 0.000 0.500
Nd1 0.119 0.169 0.831
Nd2 0.119 0.169 0.338
Nd3 0.110 0.667 0.333
Nd4 0.450 0.831 0.169
Nd5 0.450 0.338 0.169
Nd6 0.450 0.831 0.662
Nd7 0.119 0.662 0.831
In1 0.459 0.333 0.667


Entry 3:
A geometry-optimized Sr2Mg3Cd2 structure, computed with GGA-PBE.

**DFT formation energy**: -0.20 eV/atom
**Symmetry**: C2/m, No. 12

Cell lengths 4.830, 6.364, 8.072 Å; angles 112.96, 90.00, 112.30 degrees
Sites, in units of the cell vectors:
Sr1 0.859 0.719 0.227
Sr2 0.141 0.281 0.773
Mg1 0.500 0.000 0.000
Mg2 0.628 0.256 0.433
Mg3 0.372 0.744 0.567
Cd1 0.856 0.712 0.789
Cd2 0.144 0.288 0.211


Entry 4:
A geometry-optimized Pr5CuSe4 structure, computed with GGA-PBE.

**Formation energy from raw total energies**: -15.2 eV per formula unit
**Symmetry**: I4, No. 79

Cell lengths 6.050, 7.369, 7.369 Å; angles 80.30, 65.76, 65.76 degrees
Sites, in units of the cell vectors:
Pr1 0.901 0.397 0.804
Pr2 0.297 0.804 0.603
Pr3 0.704 0.196 0.397
Pr4 0.101 0.603 0.196
Pr5 0.501 0.000 0.000
Cu1 0.002 0.000 0.000
Se1 0.404 0.399 0.795
Se2 0.803 0.795 0.601
Se3 0.199 0.205 0.399
Se4 0.598 0.601 0.205


What density of states at the Fermi level values result from the calculations? In sequence: 11.4, 15.9, 4.8, 5.2 states/eV/cell.